BAsAuO, relaxed, DFT PBE-GGA; SG = No. 26; offset from the most stable computed form = 0.000 eV/atom
1.0
3.257 0.000 0.000
0.000 8.453 0.000
0.000 0.000 4.387
As Au B O
2 2 2 2
Cartesian
0.000 2.150 1.970
0.000 6.303 4.163
0.000 5.070 1.973
0.000 3.383 4.167
1.628 7.779 0.096
1.628 0.674 2.289
1.628 8.024 1.462
1.628 0.429 3.656


BAsAuO, relaxed, DFT PBE-GGA; SG = No. 129; offset from the most stable computed form = 1.094 eV/atom
1.0
3.675 0.000 0.000
0.000 3.675 0.000
0.000 0.000 8.978
As Au B O
2 2 2 2
Cartesian
0.000 1.838 2.564
1.838 0.000 6.414
0.000 0.000 4.489
1.838 1.838 4.489
0.000 1.838 0.480
1.838 0.000 8.499
0.000 0.000 0.000
1.838 1.838 0.000


BaAs2Au, relaxed, DFT PBE-GGA; SG = No. 216; DFT total energy = -3.7710 eV per atom
1.0
2.414 -4.279 1.790
1.119 -0.435 5.090
-2.609 -3.425 2.968
As Au Ba
2 1 1
Cartesian
0.000 0.000 0.000
0.693 -6.105 7.386
0.231 -2.035 2.462
0.462 -4.070 4.924


BaAs2Au, relaxed, DFT PBE-GGA; SG = No. 216; DFT total energy = -3.7710 eV per atom
1.0
1.661 2.630 4.204
-2.388 -0.656 4.606
2.439 -2.531 3.872
As Au Ba
2 1 1
Cartesian
0.000 0.000 0.000
1.284 -0.418 9.511
0.856 -0.279 6.341
0.428 -0.139 3.170


BaBiAsAu2, relaxed, DFT PBE-GGA; SG = No. 11; DFT total energy = -3.9893 eV per atom
1.0
4.868 0.000 0.000
0.000 4.772 0.000
-0.104 0.000 11.495
As Au Ba Bi
2 4 2 2
Cartesian
3.834 3.579 4.425
0.930 1.193 7.070
3.610 3.579 1.876
3.373 1.193 5.698
1.391 3.579 5.797
1.153 1.193 9.618
1.164 1.193 3.173
3.600 3.579 8.321
3.658 1.193 0.002
1.106 3.579 11.493


Ba2CuAs2Au, relaxed, DFT PBE-GGA; SG = No. 156; DFT total energy = -4.1875 eV per atom
1.0
-3.125 -2.218 -2.385
3.303 -2.281 2.065
-5.240 -0.745 7.559
As Au Ba Cu
2 1 2 1
Cartesian
-3.593 -2.610 2.865
-5.234 -0.744 7.551
-2.627 -0.374 3.789
-0.136 -2.444 2.452
-2.786 -2.821 6.274
-0.988 -2.240 -0.893


Ba2CuAs2Au, relaxed, DFT PBE-GGA; SG = No. 187; DFT total energy = -4.1876 eV per atom
1.0
4.504 0.000 0.000
-2.252 3.901 0.000
0.000 0.000 9.248
As Au Ba Cu
2 1 2 1
Cartesian
0.000 0.000 0.000
0.000 2.601 4.624
0.000 0.000 4.624
2.252 1.300 2.283
2.252 1.300 6.964
0.000 2.601 0.000


Ba6NaAs6Au, relaxed, DFT PBE-GGA; SG = No. 216; DFT total energy = -3.2011 eV per atom
1.0
-5.689 -3.613 5.953
-1.215 3.912 8.005
-7.776 4.116 1.859
As Au Ba Na
6 1 6 1
Cartesian
-6.294 -1.483 6.669
-3.456 3.288 7.970
-7.064 0.997 11.744
-7.617 3.418 4.073
-11.224 1.127 7.847
-8.387 5.898 9.148
-7.340 2.207 7.908
-2.903 -1.600 3.046
-0.825 1.896 3.999
-3.468 0.217 6.765
-3.873 1.990 1.144
-6.515 0.312 3.909
-4.437 3.808 4.863
-11.010 3.311 11.863


Ba2NiAs2Au, relaxed, DFT PBE-GGA; SG = No. 187; DFT total energy = -4.4541 eV per atom
1.0
-2.752 2.663 -2.184
-1.232 -1.766 3.847
3.621 7.525 4.614
As Au Ba Ni
2 1 2 1
Cartesian
-2.245 1.187 -0.174
1.810 3.762 2.307
0.000 0.000 0.000
-0.793 1.675 3.042
0.937 5.270 5.246
-0.435 4.949 2.133


BaAsAuO, relaxed, DFT PBE-GGA; SG = No. 26; offset from the most stable computed form = 0.000 eV/atom
1.0
-2.665 0.059 2.570
1.206 -8.115 1.436
4.017 1.329 4.136
As Au Ba O
2 2 2 2
Cartesian
0.303 -0.214 0.319
3.429 -7.066 3.717
1.445 -5.644 4.295
2.792 -0.528 5.575
2.320 -2.361 2.460
4.648 -3.847 4.909
0.395 -4.127 3.172
2.270 -2.565 5.081


BaAsAuO, relaxed, DFT PBE-GGA; SG = No. 26; offset from the most stable computed form = 0.171 eV/atom
1.0
4.853 0.000 0.000
0.000 4.567 0.000
0.000 0.000 7.822
As Au Ba O
2 2 2 2
Cartesian
0.000 3.420 2.134
0.000 1.148 6.045
0.000 1.130 3.425
0.000 3.437 7.336
2.426 1.159 0.818
2.426 3.408 4.729
2.426 1.124 3.431
2.426 3.444 7.342


BaAsAuO, relaxed, DFT PBE-GGA; SG = No. 129; offset from the most stable computed form = 0.592 eV/atom
1.0
-2.645 -4.077 5.131
3.873 -5.436 -2.323
3.496 1.285 2.823
As Au Ba O
2 2 2 2
Cartesian
3.062 -2.304 -0.252
1.048 -1.168 4.479
-0.701 -1.810 3.067
4.811 -1.662 1.160
1.748 0.642 1.411
2.362 -4.114 2.816
0.000 0.000 0.000
0.614 -4.757 1.404